Entry 1:
Computed, not measured: a relaxed structure of AlTc2Pd2 at the PBE-GGA level of DFT.

total magnetic moment = 0.00 μB/f.u.
energy above the lowest structure with this stoichiometry = 0.0 meV per atom
ΔH_f (0 K) = 0.3 eV per formula unit

abc: 3.409 3.409 7.477
angles: 76.82 76.82 90.00
Element x y z (fractional)
Tc (0.250, 0.750, 0.500)
Tc (0.750, 0.250, 0.500)
Pd (0.406, 0.406, 0.187)
Al (0.000, 0.000, 0.000)
Pd (0.594, 0.594, 0.813)



Entry 2:
Computed, not measured: a relaxed structure of In2RuPt at the PBE-GGA level of DFT.

total magnetic moment = 0.00 μB/f.u.
ΔH_f (0 K) = 0.0 eV per formula unit

abc: 4.659 4.659 5.204
angles: 76.21 76.21 41.77
Element x y z (fractional)
In (0.501, 0.501, 0.496)
Pt (0.750, 0.750, 0.750)
Ru (0.250, 0.250, 0.250)
In (0.999, 0.999, 0.004)



Entry 3:
Computed, not measured: a relaxed structure of Ca3ErPb12 at the PBE-GGA level of DFT.

total magnetic moment = 0.00 μB/f.u.
ΔH_f (0 K) = -4.8 eV per formula unit

abc: 4.907 4.907 19.820
angles: 90.00 90.00 90.00
Element x y z (fractional)
Pb (0.500, 0.000, 0.123)
Pb (0.000, 0.500, 0.877)
Pb (0.500, 0.000, 0.625)
Ca (0.000, 0.000, 0.752)
Pb (0.000, 0.500, 0.375)
Er (0.000, 0.000, 0.000)
Pb (0.000, 0.500, 0.625)
Pb (0.500, 0.500, 0.000)
Ca (0.000, 0.000, 0.500)
Pb (0.500, 0.500, 0.249)
Pb (0.500, 0.000, 0.877)
Ca (0.000, 0.000, 0.248)
Pb (0.000, 0.500, 0.123)
Pb (0.500, 0.000, 0.375)
Pb (0.500, 0.500, 0.500)
Pb (0.500, 0.500, 0.751)



Entry 4:
Computed, not measured: a relaxed structure of Be2CoBr at the PBE-GGA level of DFT.

total magnetic moment = 0.36 μB/f.u.
ΔE_f (raw) = 681 meV/atom
energy above the lowest structure with this stoichiometry = 549.3 meV per atom

abc: 4.035 4.028 2.981
angles: 90.00 90.00 90.00
Each line ends with the local moment (μB).
Element x y z (fractional)
Br (0.500, 0.000, 0.500)  0.01
Be (0.000, 0.000, 0.000)  -0.02
Be (0.500, 0.500, 0.000)  -0.02
Co (0.000, 0.500, 0.500)  0.47



Which value of total magnetic moment does entry 3 give? 0.00 μB/f.u.